CsBiH2Ru: relaxed, PBE-GGA.

abc: 4.0781 4.0781 6.2018
angles: 90.00 90.00 90.00
Closest atoms and distances in Å follow each position.
Atoms (fractional coordinates):
Cs (0.0000, 0.0000, 0.0000)  4 H 2.04
Bi (0.5000, 0.5000, 0.5000)  4 Ru 2.88
H (0.0000, 0.5000, 0.0000)  2 Cs 2.04
H (0.5000, 0.0000, 0.0000)  2 Cs 2.04
Ru (0.0000, 0.0000, 0.5000)  4 Bi 2.88, 2 Cs 3.10

Output
Total magnetic moment   0.00 μB per formula unit
Electronic total energy   -2.809 eV/atom
Density of states at the Fermi level   3.17 states/eV/f.u.
SG   P4/mmm, No. 123